A plane-wave DFT calculation with GGA-PBE was carried out for an optimized crystal structure of Fe2RhCl.

Computed properties:
Calculated total energy ... -5.548 eV/atom
Density of states at the Fermi level ... 50.71 states/eV per cell
Energy relative to the elements, uncorrected ... 3.93 eV/f.u.
Volume ... 206.4 Å³/cell

CIF file:
```
data_Fe2RhCl
_space_group_name_H-M_alt 'F m -3 m'
_space_group_IT_number 225
_space_group_name_Hall '-F 4 2 3'
_cell_length_a 5.9095
_cell_length_b 5.9095
_cell_length_c 5.9095
_cell_angle_alpha 90.00
_cell_angle_beta 90.00
_cell_angle_gamma 90.00
loop_
_atom_site_label
_atom_site_fract_x
_atom_site_fract_y
_atom_site_fract_z
_atom_site_occupancy
Fe1 0.2500 0.2500 0.2500 1
Rh1 0.0000 0.0000 0.0000 1
Cl1 0.0000 0.0000 0.5000 1
```

***

A plane-wave DFT calculation with GGA-PBE was carried out for an optimized crystal structure of Fe2RhCl.

Computed properties:
Calculated total energy ... -6.432 eV/atom
Density of states at the Fermi level ... 3.71 states/eV per cell
Energy relative to the elements, uncorrected ... 0.40 eV/f.u.
Volume ... 62.3 Å³/cell

CIF file:
```
data_Fe2RhCl
_space_group_name_H-M_alt 'P m m m'
_space_group_IT_number 47
_cell_length_a 2.9358
_cell_length_b 2.9822
_cell_length_c 7.1163
_cell_angle_alpha 90.00
_cell_angle_beta 90.00
_cell_angle_gamma 90.00
loop_
_space_group_symop_operation_xyz
'x,y,z'
'-x,-y,-z'
'-x,-y,z'
'x,y,-z'
'x,-y,-z'
'-x,y,z'
'-x,y,-z'
'x,-y,z'
loop_
_atom_site_label
_atom_site_fract_x
_atom_site_fract_y
_atom_site_fract_z
_atom_site_occupancy
Fe1 0.0000 0.0000 0.2200 1
Rh1 0.5000 0.5000 0.0000 1
Cl1 0.5000 0.0000 0.5000 1
```

***

A plane-wave DFT calculation with GGA-PBE was carried out for an optimized crystal structure of FeRhCl2.

Computed properties:
Calculated total energy ... -4.994 eV/atom
Density of states at the Fermi level ... 5.49 states/eV per cell
Energy relative to the elements, uncorrected ... -0.47 eV/f.u.
Volume ... 176.2 Å³/cell

CIF file:
```
data_FeRhCl2
_space_group_name_H-M_alt 'C 1 2/m 1'
_space_group_IT_number 12
_cell_length_a 13.1519
_cell_length_b 3.1213
_cell_length_c 4.3162
_cell_angle_alpha 90.00
_cell_angle_beta 96.08
_cell_angle_gamma 90.00
loop_
_space_group_symop_operation_xyz
'x,y,z'
'-x,-y,-z'
'-x,y,-z'
'x,-y,z'
'x+1/2,y+1/2,z'
'-x+1/2,-y+1/2,-z'
'-x+1/2,y+1/2,-z'
'x+1/2,-y+1/2,z'
loop_
_atom_site_label
_atom_site_fract_x
_atom_site_fract_y
_atom_site_fract_z
_atom_site_occupancy
Fe1 0.0000 0.0000 0.0000 1
Rh1 0.0000 0.5000 0.5000 1
Cl1 0.1375 0.5000 0.2008 1
```

***

A plane-wave DFT calculation with GGA-PBE was carried out for an optimized crystal structure of Fe2RhCl.

Computed properties:
Calculated total energy ... -6.306 eV/atom
Density of states at the Fermi level ... 7.70 states/eV per cell
Energy relative to the elements, uncorrected ... 0.90 eV/f.u.
Volume ... 144.8 Å³/cell

CIF file:
```
data_Fe2RhCl
_space_group_name_H-M_alt 'C 1 m 1'
_space_group_IT_number 8
_cell_length_a 7.8594
_cell_length_b 2.8831
_cell_length_c 6.4161
_cell_angle_alpha 90.00
_cell_angle_beta 94.98
_cell_angle_gamma 90.00
loop_
_space_group_symop_operation_xyz
'x,y,z'
'x,-y,z'
'x+1/2,y+1/2,z'
'x+1/2,-y+1/2,z'
loop_
_atom_site_label
_atom_site_fract_x
_atom_site_fract_y
_atom_site_fract_z
_atom_site_occupancy
Fe1 0.0000 0.0000 0.0000 1
Fe2 0.2279 0.5000 0.1884 1
Rh1 0.2680 0.0000 0.8431 1
Cl1 0.2971 0.0000 0.4681 1
```

***

A plane-wave DFT calculation with GGA-PBE was carried out for an optimized crystal structure of FeRhCl.

Computed properties:
Calculated total energy ... -5.353 eV/atom
Density of states at the Fermi level ... 7.94 states/eV per cell
Energy relative to the elements, uncorrected ... 1.60 eV/f.u.
Volume ... 212.3 Å³/cell

CIF file:
```
data_FeRhCl
_space_group_name_H-M_alt 'F -4 3 m'
_space_group_IT_number 216
_space_group_name_Hall 'F -4 2 3'
_cell_length_a 5.9658
_cell_length_b 5.9658
_cell_length_c 5.9658
_cell_angle_alpha 90.00
_cell_angle_beta 90.00
_cell_angle_gamma 90.00
loop_
_atom_site_label
_atom_site_fract_x
_atom_site_fract_y
_atom_site_fract_z
_atom_site_occupancy
Fe1 0.0000 0.0000 0.0000 1
Rh1 0.2500 0.2500 0.7500 1
Cl1 0.0000 0.0000 0.5000 1
```

***

A plane-wave DFT calculation with GGA-PBE was carried out for an optimized crystal structure of Fe2RhCl.

Computed properties:
Calculated total energy ... -6.113 eV/atom
Density of states at the Fermi level ... 7.21 states/eV per cell
Energy relative to the elements, uncorrected ... 1.67 eV/f.u.
Volume ... 113.7 Å³/cell

CIF file:
```
data_Fe2RhCl
_space_group_name_H-M_alt 'I m m 2'
_space_group_IT_number 44
_cell_length_a 2.8649
_cell_length_b 4.5300
_cell_length_c 8.7595
_cell_angle_alpha 90.00
_cell_angle_beta 90.00
_cell_angle_gamma 90.00
loop_
_space_group_symop_operation_xyz
'x,y,z'
'-x,-y,z'
'-x,y,z'
'x,-y,z'
'x+1/2,y+1/2,z+1/2'
'-x+1/2,-y+1/2,z+1/2'
'-x+1/2,y+1/2,z+1/2'
'x+1/2,-y+1/2,z+1/2'
loop_
_atom_site_label
_atom_site_fract_x
_atom_site_fract_y
_atom_site_fract_z
_atom_site_occupancy
Fe1 0.0000 0.0000 0.0000 1
Fe2 0.0000 0.5000 0.2530 1
Rh1 0.0000 0.5000 0.7616 1
Cl1 0.0000 0.0000 0.5246 1
```

***

A plane-wave DFT calculation with GGA-PBE was carried out for an optimized crystal structure of FeRhCl2.

Computed properties:
Calculated total energy ... -4.793 eV/atom
Density of states at the Fermi level ... 7.50 states/eV per cell
Energy relative to the elements, uncorrected ... 0.34 eV/f.u.
Volume ... 160.6 Å³/cell

CIF file:
```
data_FeRhCl2
_space_group_name_H-M_alt 'I m m 2'
_space_group_IT_number 44
_cell_length_a 3.0401
_cell_length_b 3.8470
_cell_length_c 13.7343
_cell_angle_alpha 90.00
_cell_angle_beta 90.00
_cell_angle_gamma 90.00
loop_
_space_group_symop_operation_xyz
'x,y,z'
'-x,-y,z'
'-x,y,z'
'x,-y,z'
'x+1/2,y+1/2,z+1/2'
'-x+1/2,-y+1/2,z+1/2'
'-x+1/2,y+1/2,z+1/2'
'x+1/2,-y+1/2,z+1/2'
loop_
_atom_site_label
_atom_site_fract_x
_atom_site_fract_y
_atom_site_fract_z
_atom_site_occupancy
Fe1 0.0000 0.0000 0.0000 1
Rh1 0.0000 0.5000 0.6516 1
Cl1 0.0000 0.0000 0.4313 1
Cl2 0.0000 0.5000 0.1766 1
```

***

A plane-wave DFT calculation with GGA-PBE was carried out for an optimized crystal structure of FeRhCl2.

Computed properties:
Calculated total energy ... -4.527 eV/atom
Density of states at the Fermi level ... 8.98 states/eV per cell
Energy relative to the elements, uncorrected ... 1.40 eV/f.u.
Volume ... 134.3 Å³/cell

CIF file:
```
data_FeRhCl2
_space_group_name_H-M_alt 'I -4 m 2'
_space_group_IT_number 119
_space_group_name_Hall 'I -4 -2'
_cell_length_a 3.5166
_cell_length_b 3.5166
_cell_length_c 10.8611
_cell_angle_alpha 90.00
_cell_angle_beta 90.00
_cell_angle_gamma 90.00
loop_
_atom_site_label
_atom_site_fract_x
_atom_site_fract_y
_atom_site_fract_z
_atom_site_occupancy
Fe1 0.0000 0.0000 0.0000 1
Rh1 0.0000 0.5000 0.7500 1
Cl1 0.0000 0.0000 0.5000 1
Cl2 0.0000 0.5000 0.2500 1
```

***

A plane-wave DFT calculation with GGA-PBE was carried out for an optimized crystal structure of Fe2RhCl8.

Computed properties:
Calculated total energy ... -4.238 eV/atom
Density of states at the Fermi level ... 6.34 states/eV per cell
Energy relative to the elements, uncorrected ... -7.57 eV/f.u.
Volume ... 655.9 Å³/cell

CIF file:
```
data_Fe2RhCl8
_space_group_name_H-M_alt 'C 1 2/m 1'
_space_group_IT_number 12
_cell_length_a 14.8879
_cell_length_b 7.3257
_cell_length_c 6.0215
_cell_angle_alpha 90.00
_cell_angle_beta 92.97
_cell_angle_gamma 90.00
loop_
_space_group_symop_operation_xyz
'x,y,z'
'-x,-y,-z'
'-x,y,-z'
'x,-y,z'
'x+1/2,y+1/2,z'
'-x+1/2,-y+1/2,-z'
'-x+1/2,y+1/2,-z'
'x+1/2,-y+1/2,z'
loop_
_atom_site_label
_atom_site_fract_x
_atom_site_fract_y
_atom_site_fract_z
_atom_site_occupancy
Fe1 0.1491 0.0000 0.4222 1
Rh1 0.0000 0.0000 0.0000 1
Cl1 0.0689 0.2258 0.2361 1
Cl2 0.1343 0.0000 0.7884 1
Cl3 0.2102 0.5000 0.6446 1
```

***

A plane-wave DFT calculation with GGA-PBE was carried out for an optimized crystal structure of FeRhCl2.

Computed properties:
Calculated total energy ... -4.435 eV/atom
Density of states at the Fermi level ... 12.34 states/eV per cell
Energy relative to the elements, uncorrected ... 1.77 eV/f.u.
Volume ... 254.4 Å³/cell

CIF file:
```
data_FeRhCl2
_space_group_name_H-M_alt 'F m -3 m'
_space_group_IT_number 225
_space_group_name_Hall '-F 4 2 3'
_cell_length_a 6.3367
_cell_length_b 6.3367
_cell_length_c 6.3367
_cell_angle_alpha 90.00
_cell_angle_beta 90.00
_cell_angle_gamma 90.00
loop_
_atom_site_label
_atom_site_fract_x
_atom_site_fract_y
_atom_site_fract_z
_atom_site_occupancy
Fe1 0.0000 0.0000 0.0000 1
Rh1 0.0000 0.0000 0.5000 1
Cl1 0.2500 0.2500 0.2500 1
```

***

A plane-wave DFT calculation with GGA-PBE was carried out for an optimized crystal structure of FeRhCl2.

Computed properties:
Calculated total energy ... -4.593 eV/atom
Density of states at the Fermi level ... 6.41 states/eV per cell
Energy relative to the elements, uncorrected ... 1.13 eV/f.u.
Volume ... 135.7 Å³/cell

CIF file:
```
data_FeRhCl2
_space_group_name_H-M_alt 'I m m m'
_space_group_IT_number 71
_space_group_name_Hall '-I 2 2'
_cell_length_a 3.0124
_cell_length_b 5.7369
_cell_length_c 7.8511
_cell_angle_alpha 90.00
_cell_angle_beta 90.00
_cell_angle_gamma 90.00
loop_
_atom_site_label
_atom_site_fract_x
_atom_site_fract_y
_atom_site_fract_z
_atom_site_occupancy
Fe1 0.0000 0.0000 0.0000 1
Rh1 0.0000 0.0000 0.5000 1
Cl1 0.0000 0.5000 0.2607 1
```

***

A plane-wave DFT calculation with GGA-PBE was carried out for an optimized crystal structure of Fe2RhCl.

Computed properties:
Calculated total energy ... -6.372 eV/atom
Density of states at the Fermi level ... 7.14 states/eV per cell
Energy relative to the elements, uncorrected ... 0.63 eV/f.u.
Volume ... 182.1 Å³/cell

CIF file:
```
data_Fe2RhCl
_space_group_name_H-M_alt 'R 3 m'
_space_group_IT_number 160
_space_group_name_Hall 'R 3 -2"'
_cell_length_a 2.9161
_cell_length_b 2.9161
_cell_length_c 24.7272
_cell_angle_alpha 90.00
_cell_angle_beta 90.00
_cell_angle_gamma 120.00
loop_
_atom_site_label
_atom_site_fract_x
_atom_site_fract_y
_atom_site_fract_z
_atom_site_occupancy
Fe1 0.0000 0.0000 0.0000 1
Fe2 0.0000 0.0000 0.2553 1
Rh1 0.0000 0.0000 0.7428 1
Cl1 0.0000 0.0000 0.5211 1
```

***

A plane-wave DFT calculation with GGA-PBE was carried out for an optimized crystal structure of FeRhCl2.

Computed properties:
Calculated total energy ... -4.586 eV/atom
Density of states at the Fermi level ... 3.64 states/eV per cell
Energy relative to the elements, uncorrected ... 1.16 eV/f.u.
Volume ... 67.8 Å³/cell

CIF file:
```
data_FeRhCl2
_space_group_name_H-M_alt 'P 1 2/m 1'
_space_group_IT_number 10
_cell_length_a 3.2430
_cell_length_b 3.9267
_cell_length_c 5.3427
_cell_angle_alpha 90.00
_cell_angle_beta 94.56
_cell_angle_gamma 90.00
loop_
_space_group_symop_operation_xyz
'x,y,z'
'-x,-y,-z'
'-x,y,-z'
'x,-y,z'
loop_
_atom_site_label
_atom_site_fract_x
_atom_site_fract_y
_atom_site_fract_z
_atom_site_occupancy
Fe1 0.0000 0.0000 0.0000 1
Rh1 0.5000 0.0000 0.5000 1
Cl1 0.2515 0.5000 0.2473 1
```

***

A plane-wave DFT calculation with GGA-PBE was carried out for an optimized crystal structure of Fe4RhCl.

Computed properties:
Calculated total energy ... -6.630 eV/atom
Density of states at the Fermi level ... 21.37 states/eV per cell
Energy relative to the elements, uncorrected ... 3.27 eV/f.u.
Volume ... 336.5 Å³/cell

CIF file:
```
data_Fe4RhCl
_space_group_name_H-M_alt 'F -4 3 m'
_space_group_IT_number 216
_space_group_name_Hall 'F -4 2 3'
_cell_length_a 6.9557
_cell_length_b 6.9557
_cell_length_c 6.9557
_cell_angle_alpha 90.00
_cell_angle_beta 90.00
_cell_angle_gamma 90.00
loop_
_atom_site_label
_atom_site_fract_x
_atom_site_fract_y
_atom_site_fract_z
_atom_site_occupancy
Fe1 0.1243 0.1243 0.3757 1
Rh1 0.2500 0.2500 0.7500 1
Cl1 0.0000 0.0000 0.0000 1
```

***

A plane-wave DFT calculation with GGA-PBE was carried out for an optimized crystal structure of FeRhCl.

Computed properties:
Calculated total energy ... -5.667 eV/atom
Density of states at the Fermi level ... 4.05 states/eV per cell
Energy relative to the elements, uncorrected ... 0.66 eV/f.u.
Volume ... 94.4 Å³/cell

CIF file:
```
data_FeRhCl
_space_group_name_H-M_alt 'I 4 m m'
_space_group_IT_number 107
_space_group_name_Hall 'I 4 -2'
_cell_length_a 2.9677
_cell_length_b 2.9677
_cell_length_c 10.7172
_cell_angle_alpha 90.00
_cell_angle_beta 90.00
_cell_angle_gamma 90.00
loop_
_atom_site_label
_atom_site_fract_x
_atom_site_fract_y
_atom_site_fract_z
_atom_site_occupancy
Fe1 0.0000 0.0000 0.0000 1
Rh1 0.0000 0.0000 0.3608 1
Cl1 0.0000 0.0000 0.6621 1
```